# CeZn2Pd2

A relaxed structure of CeZn2Pd2 (PBE, Alexandria via LeMat-Bulk).

- V (Å³/cell) = 190.7
- DOS(E_F) (states/eV per cell) = 15.761
- raw total energy (eV/atom) = -4.327
- magnetic moment (μB per formula unit) = 0.881

Cell and atoms, written as CIF:
```
data_CeZn2Pd2
_chemical_formula_sum 'Ce2 Zn4 Pd4'
_space_group_name_H-M_alt 'I 4/m m m'
_space_group_IT_number 139
_space_group_name_Hall '-I 4 2'
_cell_length_a 3.936
_cell_length_b 3.936
_cell_length_c 12.311
_cell_angle_alpha 90.00
_cell_angle_beta 90.00
_cell_angle_gamma 90.00
loop_
_atom_site_label
_atom_site_type_symbol
_atom_site_fract_x
_atom_site_fract_y
_atom_site_fract_z
_atom_site_occupancy
Ce1 Ce 0.000 0.000 0.000 1
Zn1 Zn 0.000 0.500 0.250 1
Pd1 Pd 0.000 0.000 0.390 1
```

=====

# Er7InRh4

A relaxed structure of Er7InRh4 (PBE, Alexandria via LeMat-Bulk).

- V (Å³/cell) = 572.9
- DOS(E_F) (states/eV per cell) = 15.201
- raw total energy (eV/atom) = -5.821
- magnetic moment (μB per formula unit) = 0.000

Cell and atoms, written as CIF:
```
data_Er7InRh4
_chemical_formula_sum 'Er14 In2 Rh8'
_space_group_name_H-M_alt 'C 1 2/m 1'
_space_group_IT_number 12
_cell_length_a 13.410
_cell_length_b 5.467
_cell_length_c 9.544
_cell_angle_alpha 90.00
_cell_angle_beta 125.03
_cell_angle_gamma 90.00
loop_
_space_group_symop_operation_xyz
'x,y,z'
'-x,-y,-z'
'-x,y,-z'
'x,-y,z'
'x+1/2,y+1/2,z'
'-x+1/2,-y+1/2,-z'
'-x+1/2,y+1/2,-z'
'x+1/2,-y+1/2,z'
loop_
_atom_site_label
_atom_site_type_symbol
_atom_site_fract_x
_atom_site_fract_y
_atom_site_fract_z
_atom_site_occupancy
Er1 Er 0.000 0.000 0.000 1
Er2 Er 0.074 0.500 0.374 1
Er3 Er 0.180 0.000 0.628 1
Er4 Er 0.212 0.500 0.878 1
In1 In 0.000 0.500 0.000 1
Rh1 Rh 0.066 0.000 0.777 1
Rh2 Rh 0.203 0.000 0.343 1
```

=====

# Li5In2Ir

A relaxed structure of Li5In2Ir (PBE, Alexandria via LeMat-Bulk).

- V (Å³/cell) = 270.1
- DOS(E_F) (states/eV per cell) = 8.011
- raw total energy (eV/atom) = -3.221
- magnetic moment (μB per formula unit) = 0.000

Cell and atoms, written as CIF:
```
data_Li5In2Ir
_chemical_formula_sum 'Li10 In4 Ir2'
_space_group_name_H-M_alt 'P b a m'
_space_group_IT_number 55
_cell_length_a 5.683
_cell_length_b 11.338
_cell_length_c 4.193
_cell_angle_alpha 90.00
_cell_angle_beta 90.00
_cell_angle_gamma 90.00
loop_
_space_group_symop_operation_xyz
'x,y,z'
'-x,-y,-z'
'-x,-y,z'
'x,y,-z'
'x+1/2,-y+1/2,-z'
'-x+1/2,y+1/2,z'
'-x+1/2,y+1/2,-z'
'x+1/2,-y+1/2,z'
loop_
_atom_site_label
_atom_site_type_symbol
_atom_site_fract_x
_atom_site_fract_y
_atom_site_fract_z
_atom_site_occupancy
Li1 Li 0.000 0.000 0.000 1
Li2 Li 0.062 0.259 0.000 1
Li3 Li 0.225 0.879 0.500 1
In1 In 0.208 0.620 0.500 1
Ir1 Ir 0.000 0.500 0.000 1
```

=====

# Ca3BeSb3

A relaxed structure of Ca3BeSb3 (PBE, Alexandria via LeMat-Bulk).

- E_form (uncorrected) (meV/atom) = -740
- V (Å³/cell) = 1597.1
- DOS(E_F) (states/eV per cell) = 32.707
- raw total energy (eV/atom) = -3.897
- magnetic moment (μB per formula unit) = 0.000

Cell and atoms, written as CIF:
```
data_Ca3BeSb3
_chemical_formula_sum 'Ca24 Be8 Sb24'
_space_group_name_H-M_alt 'C m c e'
_space_group_IT_number 64
_space_group_name_Hall '-C 2ac 2'
_cell_length_a 19.211
_cell_length_b 6.467
_cell_length_c 12.855
_cell_angle_alpha 90.00
_cell_angle_beta 90.00
_cell_angle_gamma 90.00
loop_
_atom_site_label
_atom_site_type_symbol
_atom_site_fract_x
_atom_site_fract_y
_atom_site_fract_z
_atom_site_occupancy
Ca1 Ca 0.000 0.205 0.142 1
Ca2 Ca 0.171 0.210 0.870 1
Be1 Be 0.085 0.000 0.500 1
Sb1 Sb 0.000 0.214 0.391 1
Sb2 Sb 0.162 0.214 0.619 1
```

=====

# Ba2TlW

A relaxed structure of Ba2TlW (PBE, Alexandria via LeMat-Bulk).

- V (Å³/cell) = 140.3
- DOS(E_F) (states/eV per cell) = 4.364
- raw total energy (eV/atom) = -3.908
- magnetic moment (μB per formula unit) = 2.845

Cell and atoms, written as CIF:
```
data_Ba2TlW
_chemical_formula_sum 'Ba2 Tl1 W1'
_space_group_name_H-M_alt 'P 4/m m m'
_space_group_IT_number 123
_space_group_name_Hall '-P 4 2'
_cell_length_a 3.943
_cell_length_b 3.943
_cell_length_c 9.023
_cell_angle_alpha 90.00
_cell_angle_beta 90.00
_cell_angle_gamma 90.00
loop_
_atom_site_label
_atom_site_type_symbol
_atom_site_fract_x
_atom_site_fract_y
_atom_site_fract_z
_atom_site_occupancy
Ba1 Ba 0.000 0.000 0.226 1
Tl1 Tl 0.500 0.500 0.500 1
W1 W 0.500 0.500 0.000 1
```

=====

# KYSn

A relaxed structure of KYSn (PBE, Alexandria via LeMat-Bulk).

- V (Å³/cell) = 468.9
- DOS(E_F) (states/eV per cell) = 6.952
- raw total energy (eV/atom) = -4.052
- magnetic moment (μB per formula unit) = 0.411

Cell and atoms, written as CIF:
```
data_KYSn
_chemical_formula_sum 'K4 Y4 Sn4'
_space_group_name_H-M_alt 'A m m 2'
_space_group_IT_number 38
_cell_length_a 4.884
_cell_length_b 13.385
_cell_length_c 7.173
_cell_angle_alpha 90.00
_cell_angle_beta 90.00
_cell_angle_gamma 90.00
loop_
_space_group_symop_operation_xyz
'x,y,z'
'-x,-y,z'
'-x,y,z'
'x,-y,z'
'x,y+1/2,z+1/2'
'-x,-y+1/2,z+1/2'
'-x,y+1/2,z+1/2'
'x,-y+1/2,z+1/2'
loop_
_atom_site_label
_atom_site_type_symbol
_atom_site_fract_x
_atom_site_fract_y
_atom_site_fract_z
_atom_site_occupancy
K1 K 0.000 0.000 0.000 1
K2 K 0.500 0.000 0.451 1
Y1 Y 0.500 0.209 0.837 1
Sn1 Sn 0.000 0.222 0.576 1
```

=====

# ZrTaTe3

A relaxed structure of ZrTaTe3 (PBE, Alexandria via LeMat-Bulk).

- E_form (uncorrected) (meV/atom) = 518
- V (Å³/cell) = 155.1
- DOS(E_F) (states/eV per cell) = 4.853
- raw total energy (eV/atom) = -5.447
- magnetic moment (μB per formula unit) = 2.314

Cell and atoms, written as CIF:
```
data_ZrTaTe3
_chemical_formula_sum 'Zr1 Ta1 Te3'
_space_group_name_H-M_alt 'P m -3 m'
_space_group_IT_number 221
_space_group_name_Hall '-P 4 2 3'
_cell_length_a 5.372
_cell_length_b 5.372
_cell_length_c 5.372
_cell_angle_alpha 90.00
_cell_angle_beta 90.00
_cell_angle_gamma 90.00
loop_
_atom_site_label
_atom_site_type_symbol
_atom_site_fract_x
_atom_site_fract_y
_atom_site_fract_z
_atom_site_occupancy
Zr1 Zr 0.000 0.000 0.000 1
Ta1 Ta 0.500 0.500 0.500 1
Te1 Te 0.000 0.500 0.500 1
```

=====

# MgGaGe

A relaxed structure of MgGaGe (PBE, Alexandria via LeMat-Bulk).

- V (Å³/cell) = 231.0
- DOS(E_F) (states/eV per cell) = 2.918
- raw total energy (eV/atom) = -3.117
- magnetic moment (μB per formula unit) = 0.000

Cell and atoms, written as CIF:
```
data_MgGaGe
_chemical_formula_sum 'Mg4 Ga4 Ge4'
_space_group_name_H-M_alt 'C 1 2 1'
_space_group_IT_number 5
_cell_length_a 5.314
_cell_length_b 8.835
_cell_length_c 5.394
_cell_angle_alpha 90.00
_cell_angle_beta 114.19
_cell_angle_gamma 90.00
loop_
_space_group_symop_operation_xyz
'x,y,z'
'-x,y,-z'
'x+1/2,y+1/2,z'
'-x+1/2,y+1/2,-z'
loop_
_atom_site_label
_atom_site_type_symbol
_atom_site_fract_x
_atom_site_fract_y
_atom_site_fract_z
_atom_site_occupancy
Mg1 Mg 0.000 0.000 0.000 1
Mg2 Mg 0.000 0.222 0.500 1
Ga1 Ga 0.000 0.334 0.000 1
Ga2 Ga 0.000 0.662 0.000 1
Ge1 Ge 0.000 0.564 0.500 1
Ge2 Ge 0.000 0.884 0.500 1
```

=====

# Cr2TcRu

A relaxed structure of Cr2TcRu (PBE, Alexandria via LeMat-Bulk).

- V (Å³/cell) = 53.1
- DOS(E_F) (states/eV per cell) = 4.823
- raw total energy (eV/atom) = -9.606
- magnetic moment (μB per formula unit) = 2.709

Cell and atoms, written as CIF:
```
data_Cr2TcRu
_chemical_formula_sum 'Cr2 Tc1 Ru1'
_space_group_name_H-M_alt 'P 4/m m m'
_space_group_IT_number 123
_space_group_name_Hall '-P 4 2'
_cell_length_a 4.210
_cell_length_b 4.210
_cell_length_c 2.998
_cell_angle_alpha 90.00
_cell_angle_beta 90.00
_cell_angle_gamma 90.00
loop_
_atom_site_label
_atom_site_type_symbol
_atom_site_fract_x
_atom_site_fract_y
_atom_site_fract_z
_atom_site_occupancy
Cr1 Cr 0.000 0.500 0.000 1
Tc1 Tc 0.000 0.000 0.500 1
Ru1 Ru 0.500 0.500 0.500 1
```

=====

# SeBr3

A relaxed structure of SeBr3 (PBE, Alexandria via LeMat-Bulk).

- E_form (uncorrected) (meV/atom) = 474
- V (Å³/cell) = 106.2
- DOS(E_F) (states/eV per cell) = 3.916
- raw total energy (eV/atom) = -1.651
- magnetic moment (μB per formula unit) = 0.001

Cell and atoms, written as CIF:
```
data_SeBr3
_chemical_formula_sum 'Se1 Br3'
_space_group_name_H-M_alt 'P -6 m 2'
_space_group_IT_number 187
_space_group_name_Hall 'P -6 2'
_cell_length_a 3.7445
_cell_length_b 3.7445
_cell_length_c 8.7436
_cell_angle_alpha 90.00
_cell_angle_beta 90.00
_cell_angle_gamma 120.00
loop_
_atom_site_label
_atom_site_type_symbol
_atom_site_fract_x
_atom_site_fract_y
_atom_site_fract_z
_atom_site_occupancy
Se1 Se 0.0000 0.0000 0.0000 1
Br1 Br 0.0000 0.0000 0.5000 1
Br2 Br 0.3333 0.6667 0.2210 1
```

=====

# SrWSe3

A relaxed structure of SrWSe3 (PBE, Alexandria via LeMat-Bulk).

- E_form (uncorrected) (meV/atom) = -594
- V (Å³/cell) = 126.6
- DOS(E_F) (states/eV per cell) = 2.935
- raw total energy (eV/atom) = -5.612
- magnetic moment (μB per formula unit) = 0.000

Cell and atoms, written as CIF:
```
data_SrWSe3
_chemical_formula_sum 'Sr1 W1 Se3'
_space_group_name_H-M_alt 'P m -3 m'
_space_group_IT_number 221
_space_group_name_Hall '-P 4 2 3'
_cell_length_a 5.022
_cell_length_b 5.022
_cell_length_c 5.022
_cell_angle_alpha 90.00
_cell_angle_beta 90.00
_cell_angle_gamma 90.00
loop_
_atom_site_label
_atom_site_type_symbol
_atom_site_fract_x
_atom_site_fract_y
_atom_site_fract_z
_atom_site_occupancy
Sr1 Sr 0.000 0.000 0.000 1
W1 W 0.500 0.500 0.500 1
Se1 Se 0.000 0.500 0.500 1
```

=====

# CeHoS2

A relaxed structure of CeHoS2 (PBE, Alexandria via LeMat-Bulk).

- E_form (uncorrected) (meV/atom) = -2022
- V (Å³/cell) = 262.6
- DOS(E_F) (states/eV per cell) = 16.451
- raw total energy (eV/atom) = -6.714
- magnetic moment (μB per formula unit) = 0.777

Cell and atoms, written as CIF:
```
data_CeHoS2
_chemical_formula_sum 'Ce3 Ho3 S6'
_space_group_name_H-M_alt 'R -3 m'
_space_group_IT_number 166
_space_group_name_Hall '-R 3 2"'
_cell_length_a 3.9333
_cell_length_b 3.9333
_cell_length_c 19.6006
_cell_angle_alpha 90.00
_cell_angle_beta 90.00
_cell_angle_gamma 120.00
loop_
_atom_site_label
_atom_site_type_symbol
_atom_site_fract_x
_atom_site_fract_y
_atom_site_fract_z
_atom_site_occupancy
Ce1 Ce 0.0000 0.0000 0.0000 1
Ho1 Ho 0.0000 0.0000 0.5000 1
S1 S 0.0000 0.0000 0.2454 1
```

=====

Which of these has the lowest raw total energy?
Cr2TcRu

=====

Among the records above, which one has the lowest raw total energy?
Cr2TcRu

=====

The highest raw total energy belongs to which entry?
SeBr3

=====

Number 8 is which compound?
MgGaGe